A geometry-optimized Hf2TiSi2 structure, computed with PBE.

a = 6.812 Å, b = 6.812 Å, c = 3.723 Å
α = 90.00°, β = 90.00°, γ = 90.00°
Fractional positions:
Ti (0.500, 0.500, 0.000)
Ti (0.000, 0.000, 0.000)
Hf (0.174, 0.674, 0.500)
Hf (0.326, 0.174, 0.500)
Hf (0.826, 0.326, 0.500)
Hf (0.674, 0.826, 0.500)
Si (0.374, 0.874, 0.000)
Si (0.626, 0.126, 0.000)
Si (0.126, 0.374, 0.000)
Si (0.874, 0.626, 0.000)

As for the uncorrected formation energy: -4.0 eV/f.u. As for the space-group type: P4/mbm, No. 127. For the density of states at the Fermi level, the calculation gives 0.907 states/eV per atom. For the offset from the most stable computed form, the calculation gives 0.0 meV/atom.

A geometry-optimized NdSm7Sc3 structure, computed with PBE.

a = 5.815 Å, b = 8.323 Å, c = 8.323 Å
α = 85.82°, β = 110.46°, γ = 110.46°
Last column: magnetic moment on the atom in μB.
Fractional positions:
Sm (0.691, 0.984, 0.398)  0.00
Sm (0.309, 0.016, 0.602)  0.00
Sm (0.691, 0.398, 0.984)  0.00
Sm (0.000, 0.500, 0.500)  0.08
Sm (0.197, 0.196, 0.196)  0.00
Sm (0.803, 0.804, 0.804)  0.00
Sm (0.309, 0.602, 0.016)  0.00
Sc (0.000, 0.792, 0.208)  0.00
Sc (0.000, 0.208, 0.792)  0.00
Sc (0.500, 0.000, 0.000)  0.00
Nd (0.500, 0.500, 0.500)  0.08

Its energy relative to the elements is 0.2368 eV/atom. As for the space-group type: Immm, No. 71. For the density of states at the Fermi level, the calculation gives 1.469 states/eV per atom.

A geometry-optimized PuTh2Fe structure, computed with PBE.

a = 3.477 Å, b = 3.477 Å, c = 8.310 Å
α = 90.00°, β = 90.00°, γ = 90.00°
Last column: magnetic moment on the atom in μB.
Fractional positions:
Th (0.000, 0.000, 0.791)  -0.09
Th (0.000, 0.000, 0.209)  -0.09
Pu (0.500, 0.500, 0.500)  5.42
Fe (0.500, 0.500, 0.000)  1.68

Its energy relative to the elements is 0.1190 eV/atom. As for the space-group type: P4/mmm, No. 123. For the density of states at the Fermi level, the calculation gives 2.058 states/eV per atom. For the offset from the most stable computed form, the calculation gives 139.6 meV/atom.

A geometry-optimized SiRh2S structure, computed with PBE.

a = 5.141 Å, b = 5.141 Å, c = 6.675 Å
α = 67.35°, β = 67.35°, γ = 90.00°
Fractional positions:
Rh (0.633, 0.125, 0.250)
Rh (0.117, 0.625, 0.250)
Rh (0.875, 0.883, 0.750)
Rh (0.375, 0.367, 0.750)
Si (0.250, 0.750, 0.500)
Si (0.500, 0.500, 0.000)
S (0.000, 0.000, 0.000)
S (0.750, 0.250, 0.500)

As for the uncorrected formation energy: -1.0 eV/f.u. As for the space-group type: I-42d, No. 122. For the density of states at the Fermi level, the calculation gives 0.567 states/eV per atom. For the offset from the most stable computed form, the calculation gives 0.0 meV/atom.